NaAcBeN2 (PBE, optimized geometry); electronic total energy = -0.215 Ha/atom; formation energy from raw total energies = -0.677 eV/atom; symmetry = P2/c; DOS at the Fermi energy = 0.00 states/eV per cell
1.0
4.185 0.000 0.000
0.000 5.771 0.171
0.000 -1.570 6.718
Na Ac Be N
2 2 2 4
Direct
0.454 0.000 0.250
0.546 0.000 0.750
0.211 0.500 0.750
0.789 0.500 0.250
0.000 0.000 0.000
0.000 0.000 0.500
0.821 0.761 0.972
0.821 0.239 0.528
0.179 0.761 0.472
0.179 0.239 0.028

SnHgAs2Br (PBE, optimized geometry); electronic total energy = -0.094 Ha/atom; formation energy from raw total energies = 0.509 eV/atom; symmetry = P4/mmm; DOS at the Fermi energy = 4.18 states/eV per cell
1.0
5.422 0.000 0.000
0.000 5.422 0.000
0.000 0.000 5.629
As Hg Br Sn
2 1 1 1
Direct
0.000 0.500 0.000
0.500 0.000 0.000
0.500 0.500 0.500
0.000 0.000 0.500
0.000 0.000 0.000

Nd4NiSn3 (PBE, optimized geometry); electronic total energy = -0.191 Ha/atom; energy relative to the elements = -0.60 eV per atom; symmetry = Pmm2; DOS at the Fermi energy = 7.19 states/eV per cell
1.0
4.496 0.000 0.000
0.000 4.437 0.000
0.000 0.000 11.466
Nd Ni Sn
4 1 3
Direct
0.500 0.500 0.341
0.000 0.500 0.878
0.000 0.000 0.134
0.500 0.000 0.642
0.500 0.500 0.072
0.000 0.500 0.591
0.000 0.000 0.413
0.500 0.000 0.928

AgHBr2 (PBE, optimized geometry); electronic total energy = -0.098 Ha/atom; symmetry = P1; DOS at the Fermi energy = 0.00 states/eV per cell
1.0
4.489 -0.002 0.000
0.001 7.718 1.484
-2.246 -1.557 6.352
Ag H Br
2 2 4
Direct
0.584 0.932 0.656
0.085 0.432 0.656
0.305 0.915 0.089
0.799 0.415 0.089
0.147 0.778 0.781
0.392 0.049 0.257
0.881 0.549 0.257
0.647 0.279 0.781

Ho2GaNi3 (PBE, optimized geometry); electronic total energy = -0.200 Ha/atom; energy relative to the elements = -0.53 eV per atom; symmetry = P6_3/mmc; DOS at the Fermi energy = 8.34 states/eV per cell
1.0
5.228 0.000 0.000
-2.614 4.528 0.000
0.000 0.000 8.171
Ho Ga Ni
4 2 6
Direct
0.667 0.333 0.440
0.333 0.667 0.560
0.333 0.667 0.940
0.667 0.333 0.060
0.000 0.000 0.500
0.000 0.000 0.000
0.169 0.337 0.250
0.337 0.169 0.750
0.831 0.663 0.750
0.169 0.831 0.250
0.831 0.169 0.750
0.663 0.831 0.250

Al2CdAgSe4 (PBE, optimized geometry); electronic total energy = -0.135 Ha/atom; formation energy from raw total energies = -0.527 eV/atom; symmetry = Fmm2; DOS at the Fermi energy = 2.55 states/eV per cell
1.0
5.994 0.003 0.000
-0.495 5.973 0.000
-2.750 -2.988 5.966
Al Cd Ag Se
2 1 1 4
Direct
0.757 0.257 0.515
0.257 0.757 0.515
0.501 0.501 0.003
0.006 0.006 0.013
0.608 0.608 0.711
0.384 0.883 0.267
0.883 0.384 0.267
0.103 0.103 0.711

Ti2AlSeBr (PBE, optimized geometry); electronic total energy = -0.167 Ha/atom; formation energy from raw total energies = 0.396 eV/atom; symmetry = P4/mmm; DOS at the Fermi energy = 7.96 states/eV per cell
1.0
-3.905 2.859 -0.484
-2.896 -4.040 -0.498
-0.676 -0.108 4.816
Al Se Br Ti
1 1 1 2
Direct
0.000 0.500 0.000
0.000 0.000 0.000
0.500 0.500 0.500
0.000 0.000 0.500
0.500 0.000 0.000

NaCdAgPt (PBE, optimized geometry); electronic total energy = -0.108 Ha/atom; energy relative to the elements = -0.15 eV per atom; symmetry = F-43m; DOS at the Fermi energy = 1.61 states/eV per cell
1.0
-0.232 1.755 4.383
-0.174 -2.924 3.710
3.719 -0.370 2.894
Na Ag Pt Cd
1 1 1 1
Direct
0.250 0.250 0.250
0.000 0.000 0.000
0.750 0.750 0.750
0.500 0.500 0.500

HfFeS2Cl (PBE, optimized geometry); electronic total energy = -0.210 Ha/atom; formation energy from raw total energies = -0.012 eV/atom; symmetry = P4/mmm; DOS at the Fermi energy = 6.11 states/eV per cell
1.0
4.510 0.000 0.000
0.000 4.510 0.000
0.000 0.000 4.346
S Hf Fe Cl
2 1 1 1
Direct
0.000 0.500 0.000
0.500 0.000 0.000
0.500 0.500 0.500
0.000 0.000 0.000
0.000 0.000 0.500

YTaCr2 (PBE, optimized geometry); electronic total energy = -0.329 Ha/atom; energy relative to the elements = 0.45 eV per atom; symmetry = Cm; DOS at the Fermi energy = 4.40 states/eV per cell
1.0
-3.466 -4.202 1.353
-1.835 -5.200 -1.046
1.903 -3.332 2.680
Cr Ta Y
2 1 1
Direct
0.037 0.037 0.964
0.713 0.713 0.787
0.486 0.486 0.514
0.264 0.264 0.235

LaThPd2 (PBE, optimized geometry); electronic total energy = -0.238 Ha/atom; energy relative to the elements = -0.79 eV per atom; symmetry = P2_1/m; DOS at the Fermi energy = 6.36 states/eV per cell
1.0
-0.010 -1.556 4.372
-3.916 -4.168 -1.493
7.165 -2.904 -1.017
La Th Pd
2 2 4
Direct
0.250 0.270 0.067
0.750 0.730 0.933
0.750 0.727 0.433
0.250 0.273 0.567
0.250 0.830 0.226
0.750 0.170 0.774
0.750 0.191 0.313
0.250 0.809 0.687

SrZnGa2Ru (PBE, optimized geometry); electronic total energy = -0.148 Ha/atom; energy relative to the elements = -0.36 eV per atom; symmetry = P4/mmm; DOS at the Fermi energy = 1.87 states/eV per cell
1.0
-2.479 -1.481 3.825
0.573 -4.551 -1.391
4.168 -0.269 2.596
Ru Zn Ga Sr
1 1 2 1
Direct
0.000 0.000 0.000
0.000 0.000 0.500
0.000 0.500 0.000
0.500 0.000 0.000
0.500 0.500 0.500